No. 1
A plane-wave DFT calculation with PBE was carried out for an optimized crystal structure of Y2HoAl3NiAu2.

Structure (extended XYZ):
```
9
Lattice="-1.1690 0.7356 3.8477 0.2112 -7.0145 1.4052 5.8400 4.0129 1.0071" Properties=species:S:1:pos:R:3 pbc="T T T"
Ho 2.4177 -1.1993 0.9638
Ni 0.0154 -0.0076 0.0061
Y 0.1265 -4.2023 0.8418
Y 3.4986 2.4040 0.6034
Al -0.5370 -1.2117 2.2403
Al 4.1080 -1.9599 3.7946
Al 0.7305 1.2714 2.1507
Au 1.5081 -2.9493 3.1938
Au 3.3646 0.6879 3.0625
```

Calculated values
symmetry: Amm2, No. 38
total magnetic moment: 0.00 μB/cell
energy: -5.30 eV per atom

***

No. 2
A plane-wave DFT calculation with PBE was carried out for an optimized crystal structure of LiPtO3.

Structure (extended XYZ):
```
10
Lattice="3.4630 2.7054 2.8309 1.2219 -1.9489 -4.6940 -2.8389 3.7403 -1.4679" Properties=species:S:1:pos:R:3 pbc="T T T"
O 2.4195 0.5928 -3.1738
O 0.3641 1.0520 -0.7591
O 1.4819 3.4447 -2.5720
O -1.4182 2.1496 -2.9938
O -0.5734 3.9040 -0.1573
O 3.2642 2.3471 -0.3373
Li 1.2486 2.9245 -0.5723
Li 0.5974 1.5722 -2.7587
Pt 1.5858 -1.1933 -3.4724
Pt 3.0992 1.9497 1.6092
```

Calculated values
symmetry: C2/m, No. 12
total magnetic moment: 0.03 μB/cell
energy: -5.40 eV per atom

***

No. 3
A plane-wave DFT calculation with PBE was carried out for an optimized crystal structure of Li5Cu9.

Structure (extended XYZ):
```
14
Lattice="-0.4091 -9.2885 3.6433 1.0057 -6.6493 7.3820 -3.6406 -6.8916 6.2426" Properties=species:S:1:pos:R:3 pbc="T T T"
Cu -2.5253 -8.8430 7.1981
Cu -0.2272 -8.7231 7.7616
Cu -0.5187 -13.9864 10.0697
Cu -2.1171 -12.8009 11.3554
Cu 0.0000 0.0000 0.0000
Cu -2.8169 -14.1063 9.5062
Cu -0.9269 -10.0285 5.9124
Cu -2.6160 -19.6189 14.8394
Cu -0.4281 -3.2105 2.4284
Li -0.9711 -7.2832 5.5089
Li -1.5220 -11.4147 8.6339
Li -0.6794 -5.0953 3.8540
Li -2.0729 -15.5462 11.7589
Li -2.3646 -17.7341 13.4138
```

Calculated values
symmetry: R-3m, No. 166
energy: -3.07 eV per atom

***

No. 4
A plane-wave DFT calculation with PBE was carried out for an optimized crystal structure of KZrCuSeS2.

Structure (extended XYZ):
```
12
Lattice="1.8971 -7.3327 0.0000 1.8971 7.3327 0.0000 0.0000 0.0000 10.0504" Properties=species:S:1:pos:R:3 pbc="T T T"
Zr 0.0000 0.0000 0.0000
Zr 0.0000 0.0000 5.0252
S 1.8971 1.6864 4.4297
S 1.8971 -1.6864 9.4549
S 1.8971 1.6864 0.5955
S 1.8971 -1.6864 5.6207
Se 1.8971 -6.2088 7.5378
Se 1.8971 6.2088 2.5126
K 1.8971 -3.8079 2.5126
K 1.8971 3.8079 7.5378
Cu 1.8971 -0.4398 7.5378
Cu 1.8971 0.4398 2.5126
```

Calculated values
symmetry: Cmcm, No. 63
total magnetic moment: 0.01 μB/cell
energy: -5.40 eV per atom